1.
Here is a geometry-optimized Ta2ReTc structure from Alexandria. Energies are from PBE.

## Properties
Electronic total energy ... -11.826 eV/atom
SG ... Pm (6)
DFT formation energy ... -19 kJ/mol of atoms

```
Ta2ReTc
1.0
2.8127 0.0000 0.0000
0.0000 4.5278 0.0000
-1.0073 0.0000 5.1447
Ta Re Tc
2 1 1
Direct
0.0000 0.0000 0.0000
0.2721 0.5000 0.7297
0.5057 0.0000 0.4990
0.7698 0.5000 0.2314
```

=====

2.
Here is a geometry-optimized Ta2ReTc structure from Alexandria. Energies are from PBE.

## Properties
Electronic total energy ... -11.598 eV/atom
SG ... R-3m (166)
DFT formation energy ... 3 kJ/mol of atoms

```
Ta2ReTc
1.0
1.5130 0.8736 8.4538
-1.5130 0.8736 8.4538
0.0000 -1.7471 8.4538
Ta Re Tc
2 1 1
Direct
0.2504 0.2504 0.2504
0.7496 0.7496 0.7496
0.5000 0.5000 0.5000
0.0000 0.0000 0.0000
```

=====

3.
Here is a geometry-optimized Ta2ReTc structure from Alexandria. Energies are from PBE.

## Properties
Electronic total energy ... -11.497 eV/atom
SG ... R3m (160)
DFT formation energy ... 13 kJ/mol of atoms

```
Ta2ReTc
1.0
1.4152 0.8171 9.5976
-1.4152 0.8171 9.5976
0.0000 -1.6342 9.5976
Ta Re Tc
2 1 1
Direct
0.0000 0.0000 0.0000
0.2423 0.2423 0.2423
0.4906 0.4906 0.4906
0.7511 0.7511 0.7511
```

=====

4.
Here is a geometry-optimized TaRe3Tc structure from Alexandria. Energies are from PBE.

## Properties
Electronic total energy ... -9.982 eV/atom
SG ... Pm-3m (221)
DFT formation energy ... 186 kJ/mol of atoms

```
TaRe3Tc
1.0
4.6065 0.0000 0.0000
0.0000 4.6065 0.0000
0.0000 0.0000 4.6065
Ta Re Tc
1 3 1
Direct
0.0000 0.0000 0.0000
0.0000 0.5000 0.5000
0.5000 0.0000 0.5000
0.5000 0.5000 0.0000
0.5000 0.5000 0.5000
```